Entry 1:
VASP calculation (PBE) on an optimized crystal structure of BaSi2Tc.

Cell and atoms, written as POSCAR:
```
BaSi2Tc
1.0
4.049 -1.783 0.000
4.049 1.783 0.000
-3.152 0.000 6.324
Ba Si Tc
1 2 1
direct
0.000 0.000 0.000
0.139 0.139 0.593
0.446 0.446 0.357
0.794 0.794 0.469
```

Summary:
* formation energy from raw total energies: -0.169 eV/atom
* symmetry: Cm, No. 8

Entry 2:
VASP calculation (PBE) on an optimized crystal structure of Pm2Cu2Pd5Au.

Cell and atoms, written as POSCAR:
```
Pm2Cu2Pd5Au
1.0
9.429 0.000 0.000
0.000 9.429 0.000
0.000 0.000 4.011
Pm Cu Pd Au
4 4 10 2
direct
0.180 0.320 0.000
0.320 0.820 0.000
0.680 0.180 0.000
0.820 0.680 0.000
0.117 0.617 0.000
0.383 0.117 0.000
0.617 0.883 0.000
0.883 0.383 0.000
0.000 0.500 0.500
0.067 0.792 0.500
0.208 0.067 0.500
0.292 0.567 0.500
0.433 0.292 0.500
0.500 0.000 0.500
0.567 0.708 0.500
0.708 0.433 0.500
0.792 0.933 0.500
0.933 0.208 0.500
0.000 0.000 0.000
0.500 0.500 0.000
```

Summary:
* symmetry: P4/mbm, No. 127
* E_form: -0.59 eV/atom

Entry 3:
VASP calculation (PBE) on an optimized crystal structure of SmDyInN3.

Cell and atoms, written as POSCAR:
```
SmDyInN3
1.0
5.926 0.000 0.000
0.000 3.429 0.000
-1.452 0.000 8.698
Sm Dy In N
2 2 2 6
direct
0.160 0.250 0.193
0.840 0.750 0.807
0.262 0.750 0.550
0.738 0.250 0.450
0.349 0.250 0.859
0.651 0.750 0.141
0.038 0.250 0.662
0.245 0.750 0.991
0.459 0.750 0.338
0.541 0.250 0.662
0.755 0.250 0.009
0.962 0.750 0.338
```

Summary:
* formation energy from raw total energies: -0.911 eV/atom
* symmetry: P2_1/m, No. 11

Entry 4:
VASP calculation (PBE) on an optimized crystal structure of Tb3Pm2Ag2.

Cell and atoms, written as POSCAR:
```
Tb3Pm2Ag2
1.0
2.710 1.565 7.826
-2.710 1.565 7.826
0.000 -3.129 7.826
Tb Pm Ag
3 2 2
direct
0.000 0.000 0.000
0.162 0.162 0.162
0.838 0.838 0.838
0.425 0.425 0.425
0.575 0.575 0.575
0.288 0.288 0.288
0.712 0.712 0.712
```

Summary:
* symmetry: R-3m, No. 166
* E_form: -0.10 eV/atom

Entry 5:
VASP calculation (PBE) on an optimized crystal structure of Zr6Ni6Hg.

Cell and atoms, written as POSCAR:
```
Zr6Ni6Hg
1.0
-2.589 4.555 4.669
2.589 -4.555 4.669
2.589 4.555 -4.669
Zr Ni Hg
6 6 1
direct
0.158 0.500 0.658
0.167 0.167 0.000
0.323 0.000 0.323
0.677 0.000 0.677
0.833 0.833 0.000
0.842 0.500 0.342
0.000 0.000 0.500
0.000 0.500 0.000
0.260 0.760 0.500
0.500 0.000 0.000
0.500 0.500 0.500
0.740 0.240 0.500
0.500 0.500 0.000
```

Summary:
* symmetry: Immm, No. 71
* E_form: -0.28 eV/atom

Entry 6:
VASP calculation (PBE) on an optimized crystal structure of Re2PO2.

Cell and atoms, written as POSCAR:
```
Re2PO2
1.0
-1.613 1.613 5.431
1.613 -1.613 5.431
1.613 1.613 -5.431
Re P O
2 1 2
direct
0.121 0.121 0.000
0.879 0.879 0.000
0.500 0.500 0.000
0.250 0.750 0.500
0.750 0.250 0.500
```

Summary:
* formation energy from raw total energies: -0.287 eV/atom
* symmetry: I4/mmm, No. 139

Entry 7:
VASP calculation (PBE) on an optimized crystal structure of Ta3CrRu2.

Cell and atoms, written as POSCAR:
```
Ta3CrRu2
1.0
3.140 0.000 0.000
0.000 3.140 0.000
0.000 0.000 9.498
Ta Cr Ru
3 1 2
direct
0.000 0.000 0.000
0.000 0.000 0.344
0.000 0.000 0.656
0.500 0.500 0.500
0.500 0.500 0.166
0.500 0.500 0.834
```

Summary:
* symmetry: P4/mmm, No. 123
* E_form: -0.31 eV/atom

Entry 8:
VASP calculation (PBE) on an optimized crystal structure of K2PmZrSe4.

Cell and atoms, written as POSCAR:
```
K2PmZrSe4
1.0
7.165 0.000 0.000
0.000 4.099 0.000
-2.344 0.000 7.751
K Pm Zr Se
2 1 1 4
direct
0.000 0.000 0.000
0.500 0.500 0.000
0.000 0.500 0.500
0.500 0.000 0.500
0.254 0.000 0.710
0.281 0.500 0.297
0.719 0.500 0.703
0.746 0.000 0.290
```

Summary:
* formation energy from raw total energies: -1.516 eV/atom
* symmetry: P2/m, No. 10

Entry 9:
VASP calculation (PBE) on an optimized crystal structure of Be2GeRh3.

Cell and atoms, written as POSCAR:
```
Be2GeRh3
1.0
2.899 0.000 0.000
0.000 2.899 0.000
0.000 0.000 8.562
Be Ge Rh
2 1 3
direct
0.000 0.000 0.144
0.000 0.000 0.856
0.000 0.000 0.500
0.500 0.500 0.000
0.500 0.500 0.323
0.500 0.500 0.677
```

Summary:
* symmetry: P4/mmm, No. 123
* E_form: -0.58 eV/atom

Entry 10:
VASP calculation (PBE) on an optimized crystal structure of Mg4Tl3Rh.

Cell and atoms, written as POSCAR:
```
Mg4Tl3Rh
1.0
3.382 0.000 0.000
0.000 3.382 0.000
0.000 0.000 15.265
Mg Tl Rh
4 3 1
direct
0.000 0.000 0.091
0.000 0.000 0.361
0.000 0.000 0.639
0.000 0.000 0.909
0.500 0.500 0.227
0.500 0.500 0.500
0.500 0.500 0.773
0.500 0.500 0.000
```

Summary:
* symmetry: P4/mmm, No. 123
* E_form: -0.15 eV/atom

Entry 11:
VASP calculation (PBE) on an optimized crystal structure of K2PW.

Cell and atoms, written as POSCAR:
```
K2PW
1.0
4.651 0.000 0.000
0.000 4.651 0.000
0.000 0.000 5.148
K P W
2 1 1
direct
0.000 0.000 0.248
0.000 0.000 0.752
0.500 0.500 0.000
0.500 0.500 0.500
```

Summary:
* symmetry: P4/mmm, No. 123
* E_form: 1.10 eV/atom

Entry 12:
VASP calculation (PBE) on an optimized crystal structure of Mg3SnPd12.

Cell and atoms, written as POSCAR:
```
Mg3SnPd12
1.0
4.003 0.000 0.000
0.000 4.003 0.000
0.000 0.000 15.819
Mg Sn Pd
3 1 12
direct
0.000 0.000 0.000
0.000 0.000 0.248
0.000 0.000 0.752
0.000 0.000 0.500
0.000 0.500 0.124
0.000 0.500 0.372
0.000 0.500 0.628
0.000 0.500 0.876
0.500 0.000 0.124
0.500 0.000 0.372
0.500 0.000 0.628
0.500 0.000 0.876
0.500 0.500 0.000
0.500 0.500 0.247
0.500 0.500 0.500
0.500 0.500 0.753
```

Summary:
* symmetry: P4/mmm, No. 123
* E_form: -0.48 eV/atom